VASP calculation (GGA-PBEsol) on a relaxed NiRh2 crystal.

Results
Formation enthalpy at 0 K: 47 meV per atom
DOS at the Fermi energy: 4.89 states/eV/f.u.
Symmetry: Pmmm
Relative energy among the computed polymorphs: 13 meV/atom

```
NiRh2
1.0
2.642 0.000 0.000
0.000 3.636 0.000
0.000 0.000 7.847
Ni Rh
2 4
Cartesian
0.000 0.000 1.270
0.000 0.000 6.577
0.000 0.000 3.923
1.321 1.818 0.000
1.321 1.818 2.562
1.321 1.818 5.285
```